# CaTaH

A geometry-optimized CaTaH structure (PBE, Alexandria).

Calculated values
- Density: 5.62 Mg/m³
- DOS(E_F): 1.60 states/eV per atom
- Distance to the lowest polymorph of the same formula: 2.013 eV per atom
- Size of the total moment: 2.4 μB per formula unit
- V: 65.6 Å³/f.u.

CIF file:
```
data_CaTaH
_chemical_formula_sum 'Ca2 Ta2 H2'
_cell_length_a 4.9933
_cell_length_b 4.9933
_cell_length_c 6.0794
_cell_angle_alpha 90.00
_cell_angle_beta 90.00
_cell_angle_gamma 120.00
_symmetry_space_group_name_H-M 'P 63/m m c'
_symmetry_Int_Tables_number 194
_symmetry_space_group_name_Hall '-P 6c 2c'
loop_
_atom_site_label
_atom_site_type_symbol
_atom_site_fract_x
_atom_site_fract_y
_atom_site_fract_z
_atom_site_occupancy
Ca1 Ca 0.3333 0.6667 0.2500 1
Ta1 Ta 0.3333 0.6667 0.7500 1
H1 H 0.0000 0.0000 0.2500 1
```